# ZrCrIr2

A crystal of ZrCrIr2 relaxed with PBEsol (meta-GGA SCAN, Alexandria).

**Magnetization**: 3.521 μB per formula unit
**Density of states at the Fermi level**: 1.71 states/eV/cell
**VASP energy**: -194.4 eV per formula unit
**Symmetry**: No. 123
**Energy above the most stable polymorph in this dataset**: 0.0 meV per atom
**Formation energy**: -0.782 eV per atom
**Volume**: 15.31 Å³ per atom

abc: 3.653 4.094 4.094
angles: 90.00 90.00 90.00
Last column: magnetic moment on the atom in μB.
Fractional coordinates of all 4 atoms:
Ir  0.000  0.500  0.000  -0.05
Ir  0.000  0.000  0.500  -0.05
Cr  0.500  0.000  0.000  3.20
Zr  0.500  0.500  0.500  0.10